Entry 1:
First-principles (PBE) data for an optimized crystal structure of ZrCdS2, as listed in Alexandria.

- formation energy from raw total energies (eV/atom) = -0.34
- calculated total energy (eV/cell) = -19.078
- magnetic moment (μB/atom) = 0.000
- theoretical density (g/cm3) = 4.49

abc: 8.2166 8.2166 8.2166
angles: 26.73 26.73 26.73
Last column: nearest neighbours and their distance in Å.
Atoms (fractional coordinates):
S 0.8980 0.8980 0.8980  1 Zr 2.42, 3 Cd 2.68
S 0.1020 0.1020 0.1020  1 Zr 2.42, 3 Cd 2.68
Zr 0.0000 0.0000 0.0000  2 S 2.42
Cd 0.5000 0.5000 0.5000  6 S 2.68

***

Entry 2:
First-principles (PBE) data for an optimized crystal structure of ZrCd3S, as listed in Alexandria.

- distance to the lowest polymorph of the same formula (eV/atom) = 0.000
- formation energy from raw total energies (eV/atom) = 0.64
- calculated total energy (eV/cell) = -12.214
- magnetic moment (μB/atom) = 0.312
- theoretical density (g/cm3) = 5.91

abc: 5.0566 5.0566 5.0566
angles: 90.00 90.00 90.00
Last column: nearest neighbours and their distance in Å.
Atoms (fractional coordinates):
S 0.0000 0.0000 0.0000  6 Cd 2.53
Zr 0.5000 0.5000 0.5000  12 Cd 3.58
Cd 0.0000 0.5000 0.0000  2 S 2.53
Cd 0.0000 0.0000 0.5000  2 S 2.53
Cd 0.5000 0.0000 0.0000  2 S 2.53

***

Entry 3:
First-principles (PBE) data for an optimized crystal structure of ZrCdS2, as listed in Alexandria.

- formation energy from raw total energies (eV/atom) = -0.72
- calculated total energy (eV/cell) = -41.190
- magnetic moment (μB/atom) = 0.000
- theoretical density (g/cm3) = 3.10

abc: 7.4128 7.4128 7.3964
angles: 59.93 59.93 90.00
Last column: nearest neighbours and their distance in Å.
Atoms (fractional coordinates):
S 0.4885 0.1250 0.2500  2 Zr 2.42
S 0.2615 0.6250 0.2500  2 Zr 2.42
S 0.3750 0.5115 0.7500  2 Zr 2.42
S 0.8750 0.7385 0.7500  2 Zr 2.42
Zr 0.5000 0.5000 0.0000  4 S 2.42
Zr 0.2500 0.7500 0.5000  4 S 2.42
Cd 0.0000 0.0000 0.0000  4 S 3.65
Cd 0.7500 0.2500 0.5000  4 S 3.65

***

Entry 4:
First-principles (PBE) data for an optimized crystal structure of ZrCd2S4, as listed in Alexandria.

- formation energy from raw total energies (eV/atom) = -0.94
- calculated total energy (eV/cell) = -133.901
- magnetic moment (μB/atom) = 0.000
- theoretical density (g/cm3) = 4.42

abc: 7.8565 7.8565 10.8271
angles: 90.00 90.00 90.00
Last column: nearest neighbours and their distance in Å.
Atoms (fractional coordinates):
Zr 0.0000 0.7513 0.5000  6 S 2.57-2.62
Zr 0.2487 0.0000 0.7500  6 S 2.57-2.62
Zr 0.7513 0.0000 0.2500  6 S 2.57-2.62
Zr 0.0000 0.2487 0.0000  6 S 2.57-2.62
Cd 0.7460 0.7460 0.8750  4 S 2.54-2.58
Cd 0.2540 0.7460 0.1250  4 S 2.54-2.58
Cd 0.7460 0.2540 0.6250  4 S 2.54-2.58
Cd 0.2540 0.2540 0.3750  4 S 2.54-2.58
Cd 0.7430 0.5000 0.2500  6 S 2.68-2.83
Cd 0.5000 0.2570 0.0000  6 S 2.68-2.83
Cd 0.5000 0.7430 0.5000  6 S 2.68-2.83
Cd 0.2570 0.5000 0.7500  6 S 2.68-2.83
S 0.2351 0.9866 0.5121  2 Cd 2.58-2.83, 2 Zr 2.58-2.62
S 0.7649 0.9866 0.4879  2 Cd 2.58-2.83, 2 Zr 2.58-2.62
S 0.0134 0.2351 0.7621  2 Cd 2.58-2.83, 2 Zr 2.58-2.62
S 0.7649 0.0134 0.0121  2 Cd 2.58-2.83, 2 Zr 2.58-2.62
S 0.2365 0.4746 0.9976  3 Cd 2.54-2.69, 1 Zr 2.57
S 0.5254 0.2365 0.2476  3 Cd 2.54-2.69, 1 Zr 2.57
S 0.4746 0.7635 0.7476  3 Cd 2.54-2.69, 1 Zr 2.57
S 0.2365 0.5254 0.5024  3 Cd 2.54-2.69, 1 Zr 2.57
S 0.7635 0.4746 0.0024  3 Cd 2.54-2.69, 1 Zr 2.57
S 0.7635 0.5254 0.4976  3 Cd 2.54-2.69, 1 Zr 2.57
S 0.4746 0.2365 0.7524  3 Cd 2.54-2.69, 1 Zr 2.57
S 0.5254 0.7635 0.2524  3 Cd 2.54-2.69, 1 Zr 2.57
S 0.9866 0.2351 0.2379  2 Cd 2.58-2.83, 2 Zr 2.58-2.62
S 0.2351 0.0134 0.9879  2 Cd 2.58-2.83, 2 Zr 2.58-2.62
S 0.9866 0.7649 0.2621  2 Cd 2.58-2.83, 2 Zr 2.58-2.62
S 0.0134 0.7649 0.7379  2 Cd 2.58-2.83, 2 Zr 2.58-2.62

***

Entry 5:
First-principles (PBE) data for an optimized crystal structure of Zr4CdS8, as listed in Alexandria.

- formation energy from raw total energies (eV/atom) = -1.38
- calculated total energy (eV/cell) = -86.123
- magnetic moment (μB/atom) = 0.000
- theoretical density (g/cm3) = 3.86

abc: 7.2806 7.2806 8.0640
angles: 63.16 63.16 60.00
Last column: nearest neighbours and their distance in Å.
Atoms (fractional coordinates):
Zr 0.0000 0.5000 0.0000  6 S 2.57-2.59
Zr 0.5000 0.5000 0.0000  6 S 2.57-2.59
Zr 0.5000 0.0000 0.0000  6 S 2.57-2.59
Zr 0.0000 0.0000 0.0000  6 S 2.61
Cd 0.5000 0.5000 0.5000  6 S 2.83
S 0.7382 0.2422 0.7774  3 Zr 2.59-2.61, 1 Cd 2.83
S 0.7578 0.2618 0.2226  3 Zr 2.59-2.61, 1 Cd 2.83
S 0.2618 0.7578 0.2226  3 Zr 2.59-2.61, 1 Cd 2.83
S 0.7578 0.7578 0.2226  3 Zr 2.59-2.61, 1 Cd 2.83
S 0.7386 0.7386 0.7841  3 Zr 2.57
S 0.2614 0.2614 0.2159  3 Zr 2.57
S 0.2422 0.2422 0.7774  3 Zr 2.59-2.61, 1 Cd 2.83
S 0.2422 0.7382 0.7774  3 Zr 2.59-2.61, 1 Cd 2.83

***

Entry 6:
First-principles (PBE) data for an optimized crystal structure of Zr2CdS, as listed in Alexandria.

- distance to the lowest polymorph of the same formula (eV/atom) = 0.021
- formation energy from raw total energies (eV/atom) = -0.76
- calculated total energy (eV/cell) = -25.191
- magnetic moment (μB/atom) = 0.000
- theoretical density (g/cm3) = 6.41

abc: 3.5944 3.5944 7.8442
angles: 76.76 76.76 60.00
Last column: nearest neighbours and their distance in Å.
Atoms (fractional coordinates):
Zr 0.0626 0.0626 0.8123  3 S 2.51
Zr 0.2712 0.2712 0.1865  3 S 2.51
Cd 0.4993 0.4993 0.5020  6 Zr 3.13-3.16
S 0.6670 0.6670 0.9991  6 Zr 2.51

***

Entry 7:
First-principles (PBE) data for an optimized crystal structure of Zr3CdS, as listed in Alexandria.

- distance to the lowest polymorph of the same formula (eV/atom) = 0.000
- formation energy from raw total energies (eV/atom) = -0.47
- calculated total energy (eV/cell) = -33.031
- magnetic moment (μB/atom) = 0.000
- theoretical density (g/cm3) = 6.13

abc: 4.8393 4.8393 4.8393
angles: 90.00 90.00 90.00
Last column: nearest neighbours and their distance in Å.
Atoms (fractional coordinates):
S 0.0000 0.0000 0.0000  6 Zr 2.42
Zr 0.0000 0.5000 0.0000  2 S 2.42
Zr 0.0000 0.0000 0.5000  2 S 2.42
Zr 0.5000 0.0000 0.0000  2 S 2.42
Cd 0.5000 0.5000 0.5000  12 Zr 3.42

***

Entry 8:
First-principles (PBE) data for an optimized crystal structure of ZrCdS2, as listed in Alexandria.

- formation energy from raw total energies (eV/atom) = -1.09
- calculated total energy (eV/cell) = -44.135
- magnetic moment (μB/atom) = 0.000
- theoretical density (g/cm3) = 4.48

abc: 3.6255 6.2100 9.0492
angles: 83.84 78.77 90.00
Last column: nearest neighbours and their distance in Å.
Atoms (fractional coordinates):
Zr 0.0390 0.1710 0.3019  6 S 2.58-2.59
Zr 0.5390 0.6711 0.3020  6 S 2.58
Cd 0.0809 0.9205 0.8018  2 S 2.98-2.99, 2 Cd 3.12-3.13
Cd 0.9852 0.4194 0.8022  2 S 2.97-2.98, 2 Cd 3.12-3.13
S 0.6220 0.3638 0.1291  3 Zr 2.58-2.59
S 0.9541 0.4784 0.4747  3 Zr 2.58
S 0.4556 0.9782 0.4750  3 Zr 2.58-2.59
S 0.1237 0.8637 0.1291  3 Zr 2.58